# GGA-PBE ErPaPb2O6, optimized geometry
# Calculated volume ... 16.172 Å³ per atom
# Density ... 9.33 g cm⁻³
# Uncorrected formation energy ... -2601 meV per atom
# Uncorrected energy ... -7.723 eV per atom
data_ErPaPb2O6
_cell_length_a 10.4881
_cell_length_b 6.1220
_cell_length_c 6.2249
_cell_angle_alpha 90.00
_cell_angle_beta 125.98
_cell_angle_gamma 90.00
_space_group_name_H-M_alt 'C 1 2/m 1'
_space_group_IT_number 12
loop_
_space_group_symop_operation_xyz
'x,y,z'
'-x,-y,-z'
'-x,y,-z'
'x,-y,z'
'x+1/2,y+1/2,z'
'-x+1/2,-y+1/2,-z'
'-x+1/2,y+1/2,-z'
'x+1/2,-y+1/2,z'
loop_
_atom_site_label
_atom_site_type_symbol
_atom_site_fract_x
_atom_site_fract_y
_atom_site_fract_z
_atom_site_occupancy
Er1 Er 0.0000 0.0000 0.0000 1
Pa1 Pa 0.0000 0.5000 0.5000 1
Pb1 Pb 0.2484 0.5000 0.2088 1
O1 O 0.0634 0.2514 0.8116 1
O2 O 0.2416 0.5000 0.6482 1

***

# GGA-PBE ErPaPb2O8, optimized geometry
# Calculated volume ... 15.644 Å³ per atom
# Density ... 8.32 g cm⁻³
# Uncorrected formation energy ... -2084 meV per atom
# Uncorrected energy ... -7.179 eV per atom
data_ErPaPb2O8
_cell_length_a 7.1979
_cell_length_b 7.1979
_cell_length_c 7.2468
_cell_angle_alpha 90.00
_cell_angle_beta 90.00
_cell_angle_gamma 90.00
_space_group_name_H-M_alt 'I -4 m 2'
_space_group_IT_number 119
_space_group_name_Hall 'I -4 -2'
loop_
_atom_site_label
_atom_site_type_symbol
_atom_site_fract_x
_atom_site_fract_y
_atom_site_fract_z
_atom_site_occupancy
Er1 Er 0.0000 0.0000 0.0000 1
Pa1 Pa 0.0000 0.5000 0.7500 1
Pb1 Pb 0.0000 0.0000 0.5000 1
Pb2 Pb 0.0000 0.5000 0.2500 1
O1 O 0.0000 0.1915 0.7146 1
O2 O 0.0000 0.3149 0.0292 1

***

# GGA-PBE ErPa2PbO8, optimized geometry
# Calculated volume ... 13.380 Å³ per atom
# Density ... 9.98 g cm⁻³
# Uncorrected formation energy ... -3086 meV per atom
# Uncorrected energy ... -8.663 eV per atom
data_ErPa2PbO8
_cell_length_a 5.4408
_cell_length_b 5.4408
_cell_length_c 10.8478
_cell_angle_alpha 90.00
_cell_angle_beta 90.00
_cell_angle_gamma 90.00
_space_group_name_H-M_alt 'I -4 m 2'
_space_group_IT_number 119
_space_group_name_Hall 'I -4 -2'
loop_
_atom_site_label
_atom_site_type_symbol
_atom_site_fract_x
_atom_site_fract_y
_atom_site_fract_z
_atom_site_occupancy
Er1 Er 0.0000 0.0000 0.0000 1
Pa1 Pa 0.0000 0.0000 0.5000 1
Pa2 Pa 0.0000 0.5000 0.7500 1
Pb1 Pb 0.0000 0.5000 0.2500 1
O1 O 0.2355 0.2559 0.6223 1

***

# GGA-PBE ErPaPdO6, optimized geometry
# Calculated volume ... 13.537 Å³ per atom
# Density ... 8.19 g cm⁻³
# Uncorrected formation energy ... -2457 meV per atom
# Uncorrected energy ... -7.901 eV per atom
data_ErPaPdO6
_cell_length_a 5.3621
_cell_length_b 5.3621
_cell_length_c 4.8930
_cell_angle_alpha 90.00
_cell_angle_beta 90.00
_cell_angle_gamma 120.00
_space_group_name_H-M_alt 'P 3 1 2'
_space_group_IT_number 149
loop_
_space_group_symop_operation_xyz
'x,y,z'
'-y,x-y,z'
'-x+y,-x,z'
'-y,-x,-z'
'-x+y,y,-z'
'x,x-y,-z'
loop_
_atom_site_label
_atom_site_type_symbol
_atom_site_fract_x
_atom_site_fract_y
_atom_site_fract_z
_atom_site_occupancy
Er1 Er 0.0000 0.0000 0.0000 1
Pa1 Pa 0.6667 0.3333 0.5000 1
Pd1 Pd 0.3333 0.6667 0.0000 1
O1 O 0.0124 0.3594 0.2401 1

***

# GGA-PBE ErPaPt2O8, optimized geometry
# Calculated volume ... 14.337 Å³ per atom
# Density ... 8.85 g cm⁻³
# Uncorrected formation energy ... -1756 meV per atom
# Uncorrected energy ... -7.240 eV per atom
data_ErPaPt2O8
_cell_length_a 6.9831
_cell_length_b 6.9831
_cell_length_c 7.0564
_cell_angle_alpha 90.00
_cell_angle_beta 90.00
_cell_angle_gamma 90.00
_space_group_name_H-M_alt 'I -4 m 2'
_space_group_IT_number 119
_space_group_name_Hall 'I -4 -2'
loop_
_atom_site_label
_atom_site_type_symbol
_atom_site_fract_x
_atom_site_fract_y
_atom_site_fract_z
_atom_site_occupancy
Er1 Er 0.0000 0.0000 0.0000 1
Pa1 Pa 0.0000 0.5000 0.7500 1
Pt1 Pt 0.0000 0.0000 0.5000 1
Pt2 Pt 0.0000 0.5000 0.2500 1
O1 O 0.0000 0.1769 0.7143 1
O2 O 0.0000 0.3278 0.0329 1

***

# GGA-PBE ErPaPtO6, optimized geometry
# Calculated volume ... 13.621 Å³ per atom
# Density ... 9.34 g cm⁻³
# Uncorrected formation energy ... -2533 meV per atom
# Uncorrected energy ... -8.071 eV per atom
data_ErPaPtO6
_cell_length_a 5.3816
_cell_length_b 5.3816
_cell_length_c 9.7757
_cell_angle_alpha 90.00
_cell_angle_beta 90.00
_cell_angle_gamma 120.00
_space_group_name_H-M_alt 'P -3 1 c'
_space_group_IT_number 163
_space_group_name_Hall '-P 3 2c'
loop_
_atom_site_label
_atom_site_type_symbol
_atom_site_fract_x
_atom_site_fract_y
_atom_site_fract_z
_atom_site_occupancy
Er1 Er 0.3333 0.6667 0.2500 1
Pa1 Pa 0.0000 0.0000 0.0000 1
Pt1 Pt 0.3333 0.6667 0.7500 1
O1 O 0.0293 0.3477 0.6296 1

***

# GGA-PBE ErPuPaO6, optimized geometry
# Calculated volume ... 14.928 Å³ per atom
# Density ... 9.13 g cm⁻³
# Uncorrected formation energy ... -3319 meV per atom
# Uncorrected energy ... -9.779 eV per atom
data_ErPuPaO6
_cell_length_a 5.7143
_cell_length_b 5.7143
_cell_length_c 4.7510
_cell_angle_alpha 90.00
_cell_angle_beta 90.00
_cell_angle_gamma 120.00
_space_group_name_H-M_alt 'P 3 1 2'
_space_group_IT_number 149
loop_
_space_group_symop_operation_xyz
'x,y,z'
'-y,x-y,z'
'-x+y,-x,z'
'-y,-x,-z'
'-x+y,y,-z'
'x,x-y,-z'
loop_
_atom_site_label
_atom_site_type_symbol
_atom_site_fract_x
_atom_site_fract_y
_atom_site_fract_z
_atom_site_occupancy
Er1 Er 0.0000 0.0000 0.0000 1
Pu1 Pu 0.6667 0.3333 0.0000 1
Pa1 Pa 0.3333 0.6667 0.5000 1
O1 O 0.0067 0.3444 0.2430 1

***

# GGA-PBE RbErPaO6, optimized geometry
# Calculated volume ... 18.031 Å³ per atom
# Density ... 5.93 g cm⁻³
# Uncorrected formation energy ... -2295 meV per atom
# Uncorrected energy ... -7.270 eV per atom
data_RbErPaO6
_cell_length_a 6.2574
_cell_length_b 6.2574
_cell_length_c 4.7858
_cell_angle_alpha 90.00
_cell_angle_beta 90.00
_cell_angle_gamma 120.00
_space_group_name_H-M_alt 'P 3 1 2'
_space_group_IT_number 149
loop_
_space_group_symop_operation_xyz
'x,y,z'
'-y,x-y,z'
'-x+y,-x,z'
'-y,-x,-z'
'-x+y,y,-z'
'x,x-y,-z'
loop_
_atom_site_label
_atom_site_type_symbol
_atom_site_fract_x
_atom_site_fract_y
_atom_site_fract_z
_atom_site_occupancy
Rb1 Rb 0.0000 0.0000 0.0000 1
Er1 Er 0.3333 0.6667 0.0000 1
Pa1 Pa 0.6667 0.3333 0.5000 1
O1 O 0.4285 0.0061 0.2524 1